(1)
Compound: PuZr5Bi6
Source: the Alexandria database
Functional: PBE-GGA
Structure: optimized geometry

abc: 7.4180 7.4180 7.4695
angles: 99.57 99.57 120.14
Closest atoms and distances in Å follow each position.
Element x y z (fractional)
Pu: 0.0000 0.0000 0.0000  6 Bi 3.09-3.14
Zr: 0.1548 0.8452 0.5000  6 Bi 3.00-3.04
Zr: 0.3277 0.6723 0.0000  6 Bi 3.01-3.05
Zr: 0.5000 0.5000 0.5000  6 Bi 2.98-3.02
Zr: 0.6723 0.3277 0.0000  6 Bi 3.01-3.05
Zr: 0.8452 0.1548 0.5000  6 Bi 3.00-3.04
Bi: 0.0883 0.4314 0.2611  5 Zr 3.01-3.05, 1 Pu 3.14
Bi: 0.2655 0.2655 0.7567  5 Zr 2.98-3.02, 1 Pu 3.09
Bi: 0.4314 0.0883 0.2611  5 Zr 3.01-3.05, 1 Pu 3.14
Bi: 0.5686 0.9117 0.7389  5 Zr 3.01-3.05, 1 Pu 3.14
Bi: 0.7345 0.7345 0.2433  5 Zr 2.98-3.02, 1 Pu 3.09
Bi: 0.9117 0.5686 0.7389  5 Zr 3.01-3.05, 1 Pu 3.14

Density of states at the Fermi level ... 16.93 states/eV/f.u.

(2)
Compound: PuZrBi2
Source: the Alexandria database
Functional: PBE-GGA
Structure: optimized geometry

abc: 5.3427 5.3427 5.3427
angles: 60.00 60.00 60.00
Closest atoms and distances in Å follow each position.
Element x y z (fractional)
Pu: 0.0000 0.0000 0.0000  8 Bi 3.27
Zr: 0.5000 0.5000 0.5000  8 Bi 3.27
Bi: 0.2500 0.2500 0.2500  4 Zr 3.27, 4 Pu 3.27
Bi: 0.7500 0.7500 0.7500  4 Zr 3.27, 4 Pu 3.27

Density of states at the Fermi level ... 10.13 states/eV/f.u.
Energy relative to the lowest polymorph listed for this composition ... 85 meV/atom

(3)
Compound: PuZr12Bi6
Source: the Alexandria database
Functional: PBE-GGA
Structure: optimized geometry

abc: 8.6227 8.6227 8.6227
angles: 111.05 111.05 111.05
Closest atoms and distances in Å follow each position.
Element x y z (fractional)
Pu: 0.0000 0.0000 0.0000  12 Zr 3.19-3.41
Zr: 0.1063 0.7323 0.1794  5 Bi 3.12-3.35, 6 Zr 3.17-3.44, 1 Pu 3.41
Zr: 0.1794 0.1063 0.7323  5 Bi 3.12-3.35, 6 Zr 3.17-3.44, 1 Pu 3.41
Zr: 0.2021 0.4620 0.3200  3 Bi 3.06-3.17, 6 Zr 3.17-3.29, 1 Pu 3.19
Zr: 0.2677 0.8206 0.8937  5 Bi 3.12-3.35, 6 Zr 3.17-3.44, 1 Pu 3.41
Zr: 0.3200 0.2021 0.4620  3 Bi 3.06-3.17, 6 Zr 3.17-3.29, 1 Pu 3.19
Zr: 0.4620 0.3200 0.2021  3 Bi 3.06-3.17, 6 Zr 3.17-3.29, 1 Pu 3.19
Zr: 0.5380 0.6800 0.7979  3 Bi 3.06-3.17, 6 Zr 3.17-3.29, 1 Pu 3.19
Zr: 0.6800 0.7979 0.5380  3 Bi 3.06-3.17, 6 Zr 3.17-3.29, 1 Pu 3.19
Zr: 0.7323 0.1794 0.1063  5 Bi 3.12-3.35, 6 Zr 3.17-3.44, 1 Pu 3.41
Zr: 0.7979 0.5380 0.6800  3 Bi 3.06-3.17, 6 Zr 3.17-3.29, 1 Pu 3.19
Zr: 0.8206 0.8937 0.2677  5 Bi 3.12-3.35, 6 Zr 3.17-3.44, 1 Pu 3.41
Zr: 0.8937 0.2677 0.8206  5 Bi 3.12-3.35, 6 Zr 3.17-3.44, 1 Pu 3.41
Bi: 0.0751 0.3573 0.5764  8 Zr 3.06-3.35, 2 Bi 3.37
Bi: 0.3573 0.5764 0.0751  8 Zr 3.06-3.35, 2 Bi 3.37
Bi: 0.4236 0.9249 0.6427  8 Zr 3.06-3.35, 2 Bi 3.37
Bi: 0.5764 0.0751 0.3573  8 Zr 3.06-3.35, 2 Bi 3.37
Bi: 0.6427 0.4236 0.9249  8 Zr 3.06-3.35, 2 Bi 3.37
Bi: 0.9249 0.6427 0.4236  8 Zr 3.06-3.35, 2 Bi 3.37

Density of states at the Fermi level ... 21.91 states/eV/f.u.

(4)
Compound: PuZrBi2
Source: the Alexandria database
Functional: PBE-GGA
Structure: optimized geometry

abc: 3.6348 3.6348 8.1066
angles: 90.00 90.00 90.00
Closest atoms and distances in Å follow each position.
Element x y z (fractional)
Pu: 0.0000 0.0000 0.0000  8 Bi 3.38, 4 Pu 3.63
Zr: 0.0000 0.0000 0.5000  8 Bi 3.17
Bi: 0.5000 0.5000 0.2708  4 Zr 3.17, 4 Pu 3.38
Bi: 0.5000 0.5000 0.7292  4 Zr 3.17, 4 Pu 3.38

Density of states at the Fermi level ... 7.92 states/eV/f.u.
Energy relative to the lowest polymorph listed for this composition ... 45 meV/atom

(5)
Compound: PuZr6Bi3
Source: the Alexandria database
Functional: PBE-GGA
Structure: optimized geometry

abc: 8.0881 8.0881 7.6959
angles: 90.00 90.00 90.50
Closest atoms and distances in Å follow each position.
Element x y z (fractional)
Pu: 0.1562 0.8438 0.5000  4 Zr 2.76-2.99, 1 Bi 3.03
Pu: 0.8438 0.1562 0.0000  4 Zr 2.76-2.99, 1 Bi 3.03
Zr: 0.0588 0.4566 0.3636  4 Bi 3.04-3.39, 3 Zr 3.05-3.37, 1 Pu 3.39
Zr: 0.0825 0.1996 0.7070  1 Pu 2.99, 4 Bi 3.01-3.08, 3 Zr 3.21-3.25
Zr: 0.1996 0.0825 0.2070  1 Pu 2.99, 4 Bi 3.01-3.08, 3 Zr 3.21-3.25
Zr: 0.3001 0.6999 0.1950  1 Pu 2.87, 3 Bi 3.01-3.02, 4 Zr 3.05-3.21
Zr: 0.3758 0.6242 0.6442  1 Pu 2.76
Zr: 0.4566 0.0588 0.8636  4 Bi 3.04-3.39, 3 Zr 3.05-3.37, 1 Pu 3.39
Zr: 0.5434 0.9412 0.3636  4 Bi 3.04-3.39, 3 Zr 3.05-3.37, 1 Pu 3.39
Zr: 0.6242 0.3758 0.1442  1 Pu 2.76
Zr: 0.6999 0.3001 0.6950  1 Pu 2.87, 3 Bi 3.01-3.02, 4 Zr 3.05-3.21
Zr: 0.8004 0.9175 0.7070  1 Pu 2.99, 4 Bi 3.01-3.08, 3 Zr 3.21-3.25
Zr: 0.9175 0.8004 0.2070  1 Pu 2.99, 4 Bi 3.01-3.08, 3 Zr 3.21-3.25
Zr: 0.9412 0.5434 0.8636  4 Bi 3.04-3.39, 3 Zr 3.05-3.37, 1 Pu 3.39
Bi: 0.1335 0.8665 0.8928  7 Zr 3.01-3.08, 1 Pu 3.03
Bi: 0.2654 0.3853 0.9874  6 Zr 3.01-3.22
Bi: 0.3853 0.2654 0.4874  6 Zr 3.01-3.22
Bi: 0.6147 0.7346 0.9874  6 Zr 3.01-3.22
Bi: 0.7346 0.6147 0.4874  6 Zr 3.01-3.22
Bi: 0.8665 0.1335 0.3928  7 Zr 3.01-3.08, 1 Pu 3.03

Density of states at the Fermi level ... 12.00 states/eV/f.u.

(6)
Compound: RbBi4
Source: the Alexandria database
Functional: PBE-GGA
Structure: optimized geometry

abc: 6.0412 6.0412 6.0412
angles: 90.00 90.00 90.00
Closest atoms and distances in Å follow each position.
Element x y z (fractional)
Rb: 0.0000 0.0000 0.0000  6 Bi 3.02
Bi: 0.0000 0.0000 0.5000  2 Rb 3.02
Bi: 0.0000 0.5000 0.0000  2 Rb 3.02
Bi: 0.5000 0.0000 0.0000  2 Rb 3.02
Bi: 0.5000 0.5000 0.5000  12 Bi 4.27

Density of states at the Fermi level ... 6.33 states/eV/f.u.

(7)
Compound: RbBi3
Source: the Alexandria database
Functional: PBE-GGA
Structure: optimized geometry

abc: 5.8448 5.8448 10.2967
angles: 90.00 90.00 120.00
Closest atoms and distances in Å follow each position.
Element x y z (fractional)
Rb: 0.3333 0.6667 0.2500  11 Bi 3.37-3.72
Rb: 0.6667 0.3333 0.7500  11 Bi 3.37-3.72
Bi: 0.0000 0.0000 0.2500  3 Rb 3.37, 6 Bi 3.72
Bi: 0.0000 0.0000 0.7500  3 Rb 3.37, 6 Bi 3.72
Bi: 0.3333 0.6667 0.5978  1 Bi 3.13
Bi: 0.3333 0.6667 0.9022  1 Bi 3.13
Bi: 0.6667 0.3333 0.0978  1 Bi 3.13
Bi: 0.6667 0.3333 0.4022  1 Bi 3.13

Density of states at the Fermi level ... 4.19 states/eV/f.u.
Energy relative to the lowest polymorph listed for this composition ... 343 meV/atom

(8)
Compound: Rb4Bi
Source: the Alexandria database
Functional: PBE-GGA
Structure: optimized geometry

abc: 11.4674 11.4674 10.9974
angles: 118.61 118.61 30.62
Closest atoms and distances in Å follow each position.
Element x y z (fractional)
Rb: 0.0000 0.0000 0.0000  3 Bi 3.88-4.01, 1 Rb 3.94
Rb: 0.1646 0.1646 0.4641  8 Rb 4.38-4.57
Rb: 0.3294 0.3294 0.3300  3 Bi 3.88-4.01, 1 Rb 3.95
Rb: 0.3308 0.3308 0.9264  3 Bi 3.86-4.00, 1 Rb 3.94
Rb: 0.4996 0.4996 0.2986  2 Bi 3.81, 2 Rb 3.94-3.95
Rb: 0.6647 0.6647 0.9592  2 Bi 4.11-4.12
Rb: 0.8293 0.8293 0.6311  2 Bi 3.81, 2 Rb 3.94-3.95
Rb: 0.9977 0.9977 0.5929  3 Bi 3.87-4.00, 1 Rb 3.95
Bi: 0.4500 0.4500 0.7477  9 Rb 3.81-4.12
Bi: 0.8788 0.8788 0.1759  9 Rb 3.81-4.11

Density of states at the Fermi level ... 1.85 states/eV/f.u.
Energy relative to the lowest polymorph listed for this composition ... 0 meV/atom

(9)
Compound: Rb3Bi
Source: the Alexandria database
Functional: PBE-GGA
Structure: optimized geometry

abc: 6.4441 6.4441 6.4441
angles: 119.83 119.83 90.30
Closest atoms and distances in Å follow each position.
Element x y z (fractional)
Rb: 0.0000 0.0000 0.0000  8 Rb 3.95
Rb: 0.2500 0.7500 0.5000  4 Bi 3.95, 4 Rb 3.95
Rb: 0.7500 0.2500 0.5000  4 Bi 3.95, 4 Rb 3.95
Bi: 0.5000 0.5000 0.0000  8 Rb 3.95

Density of states at the Fermi level ... 8.39 states/eV/f.u.
Energy relative to the lowest polymorph listed for this composition ... 29 meV/atom

(10)
Compound: Rb4Bi
Source: the Alexandria database
Functional: PBE-GGA
Structure: optimized geometry

abc: 7.3227 7.3227 7.3227
angles: 90.00 90.00 90.00
Closest atoms and distances in Å follow each position.
Element x y z (fractional)
Rb: 0.0000 0.0000 0.0000  12 Rb 5.18
Rb: 0.0000 0.5000 0.5000  2 Bi 3.66
Rb: 0.5000 0.0000 0.5000  2 Bi 3.66
Rb: 0.5000 0.5000 0.0000  2 Bi 3.66
Bi: 0.5000 0.5000 0.5000  6 Rb 3.66

Density of states at the Fermi level ... 5.65 states/eV/f.u.
Energy relative to the lowest polymorph listed for this composition ... 81 meV/atom

(11)
Compound: Rb3Bi
Source: the Alexandria database
Functional: PBE-GGA
Structure: optimized geometry

abc: 5.8457 5.8457 5.8448
angles: 90.00 90.00 90.00
Closest atoms and distances in Å follow each position.
Element x y z (fractional)
Rb: 0.0000 0.0000 0.0000  8 Rb 4.13-4.14, 4 Bi 4.13
Rb: 0.0000 0.5000 0.4983  4 Bi 4.13-4.14, 8 Rb 4.13-4.14
Rb: 0.5000 0.0000 0.5017  4 Bi 4.13-4.14, 8 Rb 4.13-4.14
Bi: 0.5000 0.5000 0.0000  12 Rb 4.13-4.14

Density of states at the Fermi level ... 2.77 states/eV/f.u.
Energy relative to the lowest polymorph listed for this composition ... 151 meV/atom

(12)
Compound: Rb4Bi
Source: the Alexandria database
Functional: PBE-GGA
Structure: optimized geometry

abc: 10.6486 10.6486 10.6486
angles: 60.00 60.00 60.00
Closest atoms and distances in Å follow each position.
Element x y z (fractional)
Rb: 0.2282 0.7573 0.7573  1 Bi 3.45
Rb: 0.2427 0.2427 0.2427  1 Bi 3.45
Rb: 0.2427 0.2427 0.7718  1 Bi 3.45
Rb: 0.2427 0.7718 0.2427  1 Bi 3.45
Rb: 0.7573 0.2282 0.7573  1 Bi 3.45
Rb: 0.7573 0.7573 0.2282  1 Bi 3.45
Rb: 0.7573 0.7573 0.7573  1 Bi 3.45
Rb: 0.7718 0.2427 0.2427  1 Bi 3.45
Bi: 0.3750 0.3750 0.3750  4 Rb 3.45
Bi: 0.6250 0.6250 0.6250  4 Rb 3.45

Density of states at the Fermi level ... 4.03 states/eV/f.u.
Energy relative to the lowest polymorph listed for this composition ... 228 meV/atom

(13)
Compound: Rb2Bi3
Source: the Alexandria database
Functional: PBE-GGA
Structure: optimized geometry

abc: 7.3399 7.3399 9.8925
angles: 90.00 90.00 124.78
Closest atoms and distances in Å follow each position.
Element x y z (fractional)
Rb: 0.1549 0.8451 0.8971  8 Bi 3.93-4.08
Rb: 0.3451 0.6549 0.3971  8 Bi 3.93-4.08
Rb: 0.6549 0.3451 0.6029  8 Bi 3.93-4.08
Rb: 0.8451 0.1549 0.1029  8 Bi 3.93-4.08
Bi: 0.0000 0.0000 0.5000  4 Bi 3.25
Bi: 0.1533 0.3467 0.7500  4 Bi 3.25-3.40
Bi: 0.3467 0.1533 0.2500  4 Bi 3.25-3.40
Bi: 0.5000 0.5000 0.0000  4 Bi 3.25
Bi: 0.6533 0.8467 0.7500  4 Bi 3.25-3.40
Bi: 0.8467 0.6533 0.2500  4 Bi 3.25-3.40

Density of states at the Fermi level ... 5.26 states/eV/f.u.

(14)
Compound: Rb3Bi
Source: the Alexandria database
Functional: PBE-GGA
Structure: optimized geometry

abc: 6.5224 6.5224 11.5788
angles: 90.00 90.00 120.00
Closest atoms and distances in Å follow each position.
Element x y z (fractional)
Rb: 0.0000 0.0000 0.2500  3 Bi 3.77
Rb: 0.0000 0.0000 0.7500  3 Bi 3.77
Rb: 0.3333 0.6667 0.0804  4 Bi 3.83-4.25, 7 Rb 3.93-4.25
Rb: 0.3333 0.6667 0.4196  4 Bi 3.83-4.25, 7 Rb 3.93-4.25
Rb: 0.6667 0.3333 0.5804  4 Bi 3.83-4.25, 7 Rb 3.93-4.25
Rb: 0.6667 0.3333 0.9196  4 Bi 3.83-4.25, 7 Rb 3.93-4.25
Bi: 0.3333 0.6667 0.7500  5 Rb 3.77-3.83
Bi: 0.6667 0.3333 0.2500  5 Rb 3.77-3.83

Density of states at the Fermi level ... 4.47 states/eV/f.u.
Energy relative to the lowest polymorph listed for this composition ... 0 meV/atom

(15)
Compound: RbBi3
Source: the Alexandria database
Functional: PBE-GGA
Structure: optimized geometry

abc: 5.1780 5.1915 6.2675
angles: 90.00 90.00 90.00
Closest atoms and distances in Å follow each position.
Element x y z (fractional)
Rb: 0.0000 0.0000 0.0000  12 Bi 3.94-4.13
Bi: 0.0000 0.5000 0.5122  2 Bi 3.14
Bi: 0.5000 0.0000 0.5112  2 Bi 3.14
Bi: 0.5000 0.5000 0.2288  4 Bi 3.14

Density of states at the Fermi level ... 1.27 states/eV/f.u.
Energy relative to the lowest polymorph listed for this composition ... 0 meV/atom

(16)
Compound: RbReBi3
Source: the Alexandria database
Functional: PBE-GGA
Structure: optimized geometry

abc: 5.7768 5.7768 5.7768
angles: 90.00 90.00 90.00
Closest atoms and distances in Å follow each position.
Element x y z (fractional)
Rb: 0.0000 0.0000 0.0000  6 Bi 2.89
Re: 0.5000 0.5000 0.5000  12 Bi 4.08
Bi: 0.0000 0.0000 0.5000  2 Rb 2.89
Bi: 0.0000 0.5000 0.0000  2 Rb 2.89
Bi: 0.5000 0.0000 0.0000  2 Rb 2.89

Density of states at the Fermi level ... 17.36 states/eV/f.u.
Energy relative to the lowest polymorph listed for this composition ... 2180 meV/atom

(17)
Compound: RbRe3Bi
Source: the Alexandria database
Functional: PBE-GGA
Structure: optimized geometry

abc: 5.1946 5.1946 5.1946
angles: 90.00 90.00 90.00
Closest atoms and distances in Å follow each position.
Element x y z (fractional)
Rb: 0.0000 0.0000 0.0000  12 Re 3.67
Re: 0.0000 0.5000 0.5000  2 Bi 2.60
Re: 0.5000 0.0000 0.5000  2 Bi 2.60
Re: 0.5000 0.5000 0.0000  2 Bi 2.60
Bi: 0.5000 0.5000 0.5000  6 Re 2.60

Density of states at the Fermi level ... 7.12 states/eV/f.u.
Energy relative to the lowest polymorph listed for this composition ... 0 meV/atom

(18)
Compound: RbRe3Bi
Source: the Alexandria database
Functional: PBE-GGA
Structure: optimized geometry

abc: 4.8291 4.8291 4.8291
angles: 90.00 90.00 90.00
Closest atoms and distances in Å follow each position.
Element x y z (fractional)
Rb: 0.0000 0.0000 0.0000  6 Re 2.41
Re: 0.0000 0.0000 0.5000  2 Rb 2.41
Re: 0.0000 0.5000 0.0000  2 Rb 2.41
Re: 0.5000 0.0000 0.0000  2 Rb 2.41
Bi: 0.5000 0.5000 0.5000  12 Re 3.41

Density of states at the Fermi level ... 7.87 states/eV/f.u.
Energy relative to the lowest polymorph listed for this composition ... 900 meV/atom

(19)
Compound: RbReBi3
Source: the Alexandria database
Functional: PBE-GGA
Structure: optimized geometry

abc: 5.5270 5.5270 5.5270
angles: 90.00 90.00 90.00
Closest atoms and distances in Å follow each position.
Element x y z (fractional)
Rb: 0.0000 0.0000 0.0000  12 Bi 3.91
Re: 0.5000 0.5000 0.5000  6 Bi 2.76
Bi: 0.0000 0.5000 0.5000  2 Re 2.76
Bi: 0.5000 0.0000 0.5000  2 Re 2.76
Bi: 0.5000 0.5000 0.0000  2 Re 2.76

Density of states at the Fermi level ... 4.92 states/eV/f.u.
Energy relative to the lowest polymorph listed for this composition ... 0 meV/atom

(20)
Compound: Rb2ReBi
Source: the Alexandria database
Functional: PBE-GGA
Structure: optimized geometry

abc: 9.9873 9.9873 9.9873
angles: 93.98 93.98 149.44
Closest atoms and distances in Å follow each position.
Element x y z (fractional)
Rb: 0.3750 0.1612 0.2862  2 Re 3.50
Rb: 0.8388 0.1250 0.2138  2 Re 3.50
Rb: 0.8750 0.0888 0.7138  2 Re 3.50
Rb: 0.9112 0.6250 0.7862  2 Re 3.50
Re: 0.0000 0.0000 0.0000  2 Bi 2.63
Re: 0.7500 0.2500 0.5000  2 Bi 2.63
Bi: 0.2500 0.7500 0.5000  2 Re 2.63
Bi: 0.5000 0.5000 0.0000  2 Re 2.63

Density of states at the Fermi level ... 6.54 states/eV/f.u.

Looking at energy relative to the elements for the records above, in order, we have -221 -238 -138 -277 -89 1291 237 -207 -302 -126 -180 21 -255 -332 -106 2730 2998 3898 550 956 meV/atom.